Entry from OQMD: a geometry-optimized ErU structure (PBE).

Structure (POSCAR):
```
ErU
1.0
0.0000 3.0977 3.0977
3.0977 0.0000 3.0977
3.0977 3.0977 0.0000
Er U
1 1
Cartesian
0.0000 0.0000 0.0000
4.6466 4.6466 4.6466
```

Calculated values
Uncorrected energy: -5.353 eV/atom
Space-group type: F-43m, No. 216